# 1
Computed, not measured: a relaxed structure of Th2AlSi3Ni12 at the PBE level of DFT.

It has space group R-3m (No. 166, hexagonal axes), with a = 8.4671 Å, b = 8.4671 Å, c = 12.0538 Å, α = 90.00°, β = 90.00° and γ = 120.00°. The asymmetric unit holds Th at (0.0000, 0.0000, 0.1563), Al at (0.0000, 0.0000, 0.5000), Si at (0.0000, 0.5000, 0.0000), Ni at (0.0136, 0.5068, 0.1935) and Ni at (0.0145, 0.5073, 0.3909).

For the volume, the calculation gives 13.9 Å³/atom. As for the raw formation energy: -235.2 meV per atom. For the total magnetization, the calculation gives 0.00 μB/f.u. For the total energy, the calculation gives -0.22144 hartree per atom.



# 2
Computed, not measured: a relaxed structure of CdGa2As2 at the PBE level of DFT.

It has space group I4/mmm (No. 139), with a = 4.142 Å, b = 4.142 Å, c = 13.876 Å, α = 90.00°, β = 90.00° and γ = 90.00°. The asymmetric unit holds Cd at (0.000, 0.000, 0.000), Ga at (0.000, 0.500, 0.250) and As at (0.000, 0.000, 0.365).

For the volume, the calculation gives 23.8 Å³/atom. As for the formation energy: 2.2 kJ per mole of atoms. For the total magnetization, the calculation gives 0.00 μB/f.u. For the total energy, the calculation gives -0.11874 hartree per atom.



# 3
Computed, not measured: a relaxed structure of Pm5Os2Br2 at the PBE level of DFT.

It has space group Cmce (No. 64), with a = 16.134 Å, b = 8.016 Å, c = 8.015 Å, α = 90.00°, β = 90.00° and γ = 90.00°. The asymmetric unit holds Pm at (0.000, 0.000, 0.000), Pm at (0.110, 0.155, 0.347), Os at (0.000, 0.141, 0.641) and Br at (0.214, 0.000, 0.000).

For the volume, the calculation gives 28.8 Å³/atom. As for the raw formation energy: -615.4 meV per atom. For the total magnetization, the calculation gives 0.00 μB/f.u. For the total energy, the calculation gives -0.22498 hartree per atom.



# 4
Computed, not measured: a relaxed structure of GeIrN at the PBE level of DFT.

It has space group Pm (No. 6), with a = 3.772 Å, b = 2.913 Å, c = 4.125 Å, α = 90.00°, β = 106.94° and γ = 90.00°. The asymmetric unit holds Ge at (0.000, 0.000, 0.000), Ir at (0.563, 0.500, 0.239) and N at (0.700, 0.500, 0.744).

For the volume, the calculation gives 14.5 Å³/atom. As for the raw formation energy: 398.5 meV per atom. For the total magnetization, the calculation gives 0.00 μB/f.u. For the total energy, the calculation gives -0.25245 hartree per atom.



# 5
Computed, not measured: a relaxed structure of RePPt2 at the PBE level of DFT.

It has space group Immm (No. 71), with a = 2.975 Å, b = 4.233 Å, c = 9.336 Å, α = 90.00°, β = 90.00° and γ = 90.00°. The asymmetric unit holds Re at (0.000, 0.000, 0.000), P at (0.000, 0.000, 0.500) and Pt at (0.000, 0.500, 0.206).

For the volume, the calculation gives 14.7 Å³/atom. As for the formation energy: 7.7 kJ per mole of atoms. For the total magnetization, the calculation gives 0.00 μB/f.u. For the total energy, the calculation gives -0.27213 hartree per atom.



# 6
Computed, not measured: a relaxed structure of TlAs2Pb2 at the PBE level of DFT.

It has space group I4/mmm (No. 139), with a = 5.414 Å, b = 5.414 Å, c = 10.407 Å, α = 90.00°, β = 90.00° and γ = 90.00°. The asymmetric unit holds Tl at (0.000, 0.000, 0.000), As at (0.000, 0.000, 0.379) and Pb at (0.000, 0.500, 0.250).

For the volume, the calculation gives 30.5 Å³/atom. As for the formation energy: 5.8 kJ per mole of atoms. For the total magnetization, the calculation gives 0.00 μB/f.u. For the total energy, the calculation gives -0.13804 hartree per atom.



Which of these has the lowest volume? Th2AlSi3Ni12



Among the records above, which one has the highest volume? TlAs2Pb2



Which value of volume does entry 5 give? 14.7 Å³/atom